The following is a PBE-GGA calculation of a geometry-optimized YHo2Bi2 structure, from Alexandria via LeMat-Bulk.

Cell lengths 4.9236, 6.6089, 9.5263 Å; angles 90.00, 104.98, 90.00 degrees
Last column: nearest neighbours and their distance in Å.
Element x y z (fractional)
Bi  0.7922  0.5962  0.5844  2 Y 3.13, 4 Ho 3.18-3.43
Y  0.6137  0.9678  0.2275  4 Bi 3.13-3.37
Bi  0.4310  0.9915  0.8620  6 Ho 3.19-3.29, 3 Y 3.25-3.56
Y  0.3863  0.4678  0.7725  4 Bi 3.13-3.37
Bi  0.2078  0.0962  0.4156  2 Y 3.13, 4 Ho 3.18-3.43
Ho  0.8169  0.0813  0.6339  6 Bi 3.18-3.43
Ho  0.9873  0.7288  0.9746  4 Bi 3.19-3.28, 2 Ho 3.34, 2 Y 3.53
Ho  0.1830  0.5813  0.3661  6 Bi 3.18-3.43
Ho  0.0127  0.2288  0.0254  4 Bi 3.19-3.28, 2 Ho 3.34, 2 Y 3.53
Bi  0.5690  0.4915  0.1380  6 Ho 3.19-3.29, 3 Y 3.25-3.56

Uncorrected energy ... -26.47 eV/f.u.
Total magnetization ... 0.0 μB/f.u.

The following is a PBE-GGA calculation of a geometry-optimized Nd2Sm5Er12 structure, from Alexandria via LeMat-Bulk.

Cell lengths 9.2768, 12.2965, 8.5917 Å; angles 132.54, 90.00, 112.16 degrees
Last column: nearest neighbours and their distance in Å.
Element x y z (fractional)
Nd  0.6778  0.0000  0.0000  1 Nd 3.30, 8 Er 3.35-3.60, 2 Sm 3.59
Sm  0.2955  0.5909  0.6072  8 Er 3.45-3.68, 2 Nd 3.59, 1 Sm 3.64
Er  0.4431  0.8863  0.2199  2 Sm 3.38-3.63, 7 Er 3.39-3.47, 2 Nd 3.40
Er  0.0799  0.1598  0.2832  5 Er 3.33-3.68, 2 Nd 3.42, 3 Sm 3.43-3.57
Sm  0.2305  0.4611  0.8881  8 Er 3.38-3.57, 2 Sm 3.62-3.64
Sm  0.7695  0.5389  0.1119  8 Er 3.38-3.57, 2 Sm 3.62-3.64
Er  0.0281  0.6992  0.9416  4 Er 3.31-3.68, 1 Nd 3.35, 4 Sm 3.48-3.67
Er  0.5569  0.1137  0.7801  2 Sm 3.38-3.63, 7 Er 3.39-3.47, 2 Nd 3.40
Er  0.9201  0.8402  0.7168  5 Er 3.33-3.68, 2 Nd 3.42, 3 Sm 3.43-3.57
Er  0.6711  0.6992  0.9416  4 Er 3.31-3.68, 1 Nd 3.35, 4 Sm 3.48-3.67
Er  0.3289  0.3008  0.0584  4 Er 3.31-3.68, 1 Nd 3.35, 4 Sm 3.48-3.67
Er  0.5605  0.7422  0.4029  4 Sm 3.39-3.75, 5 Er 3.39-3.53, 1 Nd 3.60
Sm  0.0000  0.0000  0.5000  10 Er 3.43-3.75, 2 Sm 3.62
Er  0.8183  0.2578  0.5971  4 Sm 3.39-3.75, 5 Er 3.39-3.53, 1 Nd 3.60
Sm  0.7045  0.4091  0.3928  8 Er 3.45-3.68, 2 Nd 3.59, 1 Sm 3.64
Er  0.4395  0.2578  0.5971  4 Sm 3.39-3.75, 5 Er 3.39-3.53, 1 Nd 3.60
Nd  0.3222  0.0000  0.0000  1 Nd 3.30, 8 Er 3.35-3.60, 2 Sm 3.59
Er  0.9719  0.3008  0.0584  4 Er 3.31-3.68, 1 Nd 3.35, 4 Sm 3.48-3.67
Er  0.1817  0.7422  0.4029  4 Sm 3.39-3.75, 5 Er 3.39-3.53, 1 Nd 3.60

Energy above the lowest structure with this stoichiometry ... 108 meV/atom
Total magnetization ... 0.0 μB/f.u.

The following is a PBE-GGA calculation of a geometry-optimized LaWSN2 structure, from Alexandria via LeMat-Bulk.

Cell lengths 4.1474, 4.1474, 5.8979 Å; angles 90.00, 90.00, 90.00 degrees
Last column: nearest neighbours and their distance in Å.
Element x y z (fractional)
N  0.5000  0.0000  0.0000  2 La 2.07
S  0.0000  0.0000  0.5000  4 W 2.93, 2 La 2.95
W  0.5000  0.5000  0.5000  4 S 2.93
La  0.0000  0.0000  0.0000  4 N 2.07
N  0.0000  0.5000  0.0000  2 La 2.07

Energy above the lowest structure with this stoichiometry ... 2329 meV/atom
Formation energy (no corrections) ... 1.524 eV/atom
Total magnetization ... 3.3 μB/f.u.

The following is a PBE-GGA calculation of a geometry-optimized CsCd3Hg6 structure, from Alexandria via LeMat-Bulk.

Cell lengths 7.8109, 7.2798, 8.9343 Å; angles 76.13, 138.38, 114.82 degrees
Last column: nearest neighbours and their distance in Å.
Element x y z (fractional)
Hg  0.6270  0.3546  0.2102  2 Cd 3.12-3.17, 5 Hg 3.13-3.33
Cd  0.3122  0.5649  0.1577  4 Hg 2.90-3.12, 2 Cd 3.02-3.05
Hg  0.2748  0.8911  0.7050  2 Cd 3.06-3.10, 5 Hg 3.08-3.31
Cs  0.8743  0.9873  0.7633  9 Hg 3.67-4.06, 1 Cd 3.99
Cd  0.2478  0.2056  0.3908  4 Hg 3.01-3.24, 3 Cd 3.05-3.28
Hg  0.2978  0.4817  0.6912  1 Cd 3.00, 5 Hg 3.10-3.35
Hg  0.7067  0.9521  0.2339  2 Cd 2.90-3.01, 3 Hg 3.13-3.23
Hg  0.0817  0.7396  0.2614  3 Cd 3.24-3.27, 3 Hg 3.24-3.31
Cd  0.7377  0.3128  0.9451  6 Hg 3.00-3.28, 3 Cd 3.02-3.28
Hg  0.8400  0.5103  0.6413  4 Cd 3.04-3.24, 3 Hg 3.08-3.35

Uncorrected energy ... -6.19 eV/f.u.
Total magnetization ... 0.0 μB/f.u.

The following is a PBE-GGA calculation of a geometry-optimized Sc4MnTe structure, from Alexandria via LeMat-Bulk.

Cell lengths 5.8561, 5.8561, 5.8561 Å; angles 60.00, 60.00, 60.00 degrees
Last column: nearest neighbours and their distance in Å.
Element x y z (fractional)
Sc  0.8790  0.3737  0.3737  6 Sc 2.90-2.96
Sc  0.3737  0.3737  0.8790  6 Sc 2.90-2.96
Sc  0.3737  0.3737  0.3737  6 Sc 2.90-2.96
Mn  0.0000  0.0000  0.0000  12 Sc 3.43, 4 Te 3.59
Te  0.7500  0.7500  0.7500  12 Sc 3.44, 4 Mn 3.59
Sc  0.3737  0.8790  0.3737  6 Sc 2.90-2.96

Energy above the lowest structure with this stoichiometry ... 708 meV/atom
Formation energy (no corrections) ... 0.302 eV/atom
Total magnetization ... 2.7 μB/f.u.

The following is a PBE-GGA calculation of a geometry-optimized Ac6Ir2RhSe3 structure, from Alexandria via LeMat-Bulk.

Cell lengths 7.5229, 7.5229, 8.0194 Å; angles 98.99, 98.99, 119.96 degrees
Last column: nearest neighbours and their distance in Å.
Element x y z (fractional)
Rh  0.0000  0.0000  0.0000  6 Ac 3.04
Ac  0.4096  0.0745  0.2234  2 Ir 3.03, 1 Rh 3.04, 3 Se 3.27-3.28
Ac  0.9255  0.5904  0.7766  2 Ir 3.03, 1 Rh 3.04, 3 Se 3.27-3.28
Ir  0.6667  0.3333  0.0000  6 Ac 3.03
Se  0.1661  0.8339  0.5000  6 Ac 3.27-3.28
Se  0.5000  0.5000  0.5000  6 Ac 3.27-3.28
Ac  0.5904  0.9255  0.7766  2 Ir 3.03, 1 Rh 3.04, 3 Se 3.27-3.28
Ac  0.0745  0.4096  0.2234  2 Ir 3.03, 1 Rh 3.04, 3 Se 3.27-3.28
Ac  0.7395  0.7395  0.2233  2 Ir 3.03, 1 Rh 3.04, 3 Se 3.27-3.28
Se  0.8339  0.1661  0.5000  6 Ac 3.27-3.28
Ac  0.2605  0.2605  0.7767  2 Ir 3.03, 1 Rh 3.04, 3 Se 3.27-3.28
Ir  0.3333  0.6667  0.0000  6 Ac 3.03

Formation energy (no corrections) ... -1.269 eV/atom
Total magnetization ... 0.0 μB/f.u.

The following is a PBE-GGA calculation of a geometry-optimized Tm2AlGe2 structure, from Alexandria via LeMat-Bulk.

Cell lengths 4.0174, 5.6059, 5.6059 Å; angles 66.18, 69.00, 69.00 degrees
Last column: nearest neighbours and their distance in Å.
Element x y z (fractional)
Tm  0.7871  0.7129  0.7129  6 Ge 2.99-3.01, 2 Al 3.16
Ge  0.5000  0.7163  0.2837  1 Ge 2.65, 2 Al 2.66
Ge  0.5000  0.2837  0.7163  1 Ge 2.65, 2 Al 2.66
Al  0.0000  0.0000  0.0000  4 Ge 2.66
Tm  0.2129  0.2871  0.2871  6 Ge 2.99-3.01, 2 Al 3.16

Uncorrected energy ... -25.46 eV/f.u.
Total magnetization ... 0.0 μB/f.u.

The following is a PBE-GGA calculation of a geometry-optimized KFe2Os structure, from Alexandria via LeMat-Bulk.

Cell lengths 3.6020, 2.6578, 8.0243 Å; angles 79.65, 90.00, 90.00 degrees
Last column: nearest neighbours and their distance in Å.
Element x y z (fractional)
Fe  0.5000  0.4709  0.1562  1 Os 2.39, 6 Fe 2.60-2.66
K  0.0000  0.3215  0.5052  2 K 2.66
Fe  0.0000  0.0680  0.9858  4 Os 2.47, 6 Fe 2.60-2.66
Os  0.5000  0.6396  0.8528  5 Fe 2.39-2.47, 2 Os 2.66

Energy above the lowest structure with this stoichiometry ... 86 meV/atom
Total magnetization ... 4.0 μB/f.u.

The following is a PBE-GGA calculation of a geometry-optimized AlReP structure, from Alexandria via LeMat-Bulk.

Cell lengths 4.0119, 4.0119, 4.0119 Å; angles 60.00, 60.00, 60.00 degrees
Last column: nearest neighbours and their distance in Å.
Element x y z (fractional)
Re  0.0000  0.0000  0.0000  4 P 2.46
Al  0.5000  0.5000  0.5000  4 P 2.46
P  0.7500  0.7500  0.7500  4 Re 2.46, 4 Al 2.46

Energy above the lowest structure with this stoichiometry ... 434 meV/atom
Total magnetization ... 0.0 μB/f.u.

The following is a PBE-GGA calculation of a geometry-optimized KPdBr2F structure, from Alexandria via LeMat-Bulk.

Cell lengths 5.2933, 5.2933, 4.2994 Å; angles 90.00, 90.00, 90.00 degrees
Last column: nearest neighbours and their distance in Å.
Element x y z (fractional)
K  0.5000  0.5000  0.5000  8 Br 3.41, 4 F 3.74
Br  0.5000  0.0000  0.0000  2 Pd 2.65
Br  0.0000  0.5000  0.0000  2 Pd 2.65
F  0.0000  0.0000  0.5000  2 Pd 2.15
Pd  0.0000  0.0000  0.0000  2 F 2.15

Formation energy (no corrections) ... -1.154 eV/atom
Total magnetization ... 0.0 μB/f.u.

The following is a PBE-GGA calculation of a geometry-optimized NaTa2Co2 structure, from Alexandria via LeMat-Bulk.

Cell lengths 7.5027, 7.5027, 2.8047 Å; angles 90.00, 90.00, 90.00 degrees
Last column: nearest neighbours and their distance in Å.
Element x y z (fractional)
Co  0.1350  0.3650  0.0000  6 Ta 2.58-2.64, 3 Co 2.80-2.86
Na  0.5000  0.5000  0.0000  2 Na 2.80, 4 Co 2.92
Co  0.3650  0.8650  0.0000  6 Ta 2.58-2.64, 3 Co 2.80-2.86
Ta  0.8462  0.3462  0.5000  6 Co 2.58-2.64, 2 Ta 2.80
Ta  0.6538  0.8462  0.5000  6 Co 2.58-2.64, 2 Ta 2.80
Na  0.0000  0.0000  0.0000  2 Na 2.80, 4 Co 2.92
Ta  0.3462  0.1538  0.5000  6 Co 2.58-2.64, 2 Ta 2.80
Ta  0.1538  0.6538  0.5000  6 Co 2.58-2.64, 2 Ta 2.80
Co  0.6350  0.1350  0.0000  6 Ta 2.58-2.64, 3 Co 2.80-2.86
Co  0.8650  0.6350  0.0000  6 Ta 2.58-2.64, 3 Co 2.80-2.86

Energy above the lowest structure with this stoichiometry ... 0 meV/atom
Total magnetization ... 0.0 μB/f.u.

The following is a PBE-GGA calculation of a geometry-optimized BePAu structure, from Alexandria via LeMat-Bulk.

Cell lengths 5.5630, 5.5630, 5.5630 Å; angles 152.30, 146.49, 44.02 degrees
Last column: nearest neighbours and their distance in Å.
Element x y z (fractional)
Au  0.0266  0.0266  0.0000  4 Be 2.62, 2 Au 2.66, 1 P 2.75
P  0.2933  0.2933  0.0000  4 Be 2.39, 2 P 2.66
Be  0.6801  0.6801  0.0000  4 P 2.39, 4 Au 2.62, 2 Be 2.66

Uncorrected energy ... -11.60 eV/f.u.
Total magnetization ... 0.0 μB/f.u.

Q: total magnetization of number 2 (Nd2Sm5Er12)?
A: 0.0 μB/f.u.

Q: Which formula does entry 3 have?
A: LaWSN2

Q: The highest total magnetization belongs to which entry?
A: KFe2Os